This record from Alexandria describes a relaxed structure of Ce8Fe2Pb. The functional is PBE.

```
Ce8Fe2Pb
1.0
-1.548 0.594 4.373
4.142 -6.798 3.385
7.605 0.673 3.098
Ce Fe Pb
8 2 1
direct
0.976 0.060 0.259
0.976 0.319 0.741
0.248 0.400 0.000
0.500 0.725 0.551
0.500 0.275 0.449
0.752 0.600 0.000
0.024 0.681 0.259
0.024 0.940 0.741
0.000 0.306 0.389
0.000 0.694 0.611
0.500 0.000 0.000
```

Values from the calculation:
- E_tot (hartree per atom) = -0.2299
- ΔE_f (kJ per mole of atoms) = -6

This record from Alexandria describes a relaxed structure of Ce3Ni5Ge2. The functional is PBE.

```
Ce3Ni5Ge2
1.0
5.511 0.000 0.000
2.755 8.035 -0.757
2.755 1.402 7.948
Ce Ni Ge
6 10 4
direct
0.250 0.000 0.000
0.750 0.000 0.000
0.378 0.438 0.805
0.622 0.562 0.195
0.878 0.805 0.438
0.122 0.195 0.562
0.250 0.500 0.500
0.750 0.500 0.500
0.453 0.797 0.797
0.047 0.203 0.203
0.547 0.203 0.203
0.953 0.797 0.797
0.149 0.451 0.251
0.851 0.549 0.749
0.649 0.251 0.451
0.351 0.749 0.549
0.128 0.683 0.060
0.872 0.317 0.940
0.628 0.060 0.683
0.372 0.940 0.317
```

Values from the calculation:
- E_tot (hartree per atom) = -0.2181
- ΔE_f (kJ per mole of atoms) = -33

This record from Alexandria describes a relaxed structure of BaCoTcPb2. The functional is PBE.

```
BaCoTcPb2
1.0
6.194 0.000 0.000
0.000 5.074 0.000
0.000 0.000 6.194
Pb Co Ba Tc
2 1 1 1
direct
0.000 0.000 0.500
0.500 0.000 0.000
0.500 0.500 0.500
0.000 0.000 0.000
0.000 0.500 0.000
```

Values from the calculation:
- E_tot (hartree per atom) = -0.1126
- ΔE_f (kJ per mole of atoms) = 222

This record from Alexandria describes a relaxed structure of BaSr3Ac. The functional is PBE.

```
BaSr3Ac
1.0
5.017 -1.626 4.015
5.565 3.450 -1.030
-3.651 9.474 9.136
Ba Sr Ac
2 6 2
direct
0.758 0.242 0.500
0.242 0.758 0.500
0.976 0.976 0.154
0.024 0.024 0.846
0.725 0.725 0.675
0.632 0.632 0.242
0.275 0.275 0.325
0.368 0.368 0.758
0.674 0.674 0.961
0.326 0.326 0.039
```

Values from the calculation:
- E_tot (hartree per atom) = -0.0742
- energy above the lowest structure with this stoichiometry (meV per atom) = 0
- ΔE_f (kJ per mole of atoms) = 19

This record from Alexandria describes a relaxed structure of MgNi2RhC. The functional is PBE.

```
MgNi2RhC
1.0
3.839 0.000 0.000
0.000 3.839 0.000
0.000 0.000 4.037
Ni Mg Rh C
2 1 1 1
direct
0.000 0.500 0.000
0.500 0.000 0.000
0.500 0.500 0.500
0.000 0.000 0.500
0.000 0.000 0.000
```

Values from the calculation:
- E_tot (hartree per atom) = -0.2253
- ΔE_f (kJ per mole of atoms) = -18

This record from Alexandria describes a relaxed structure of CaYAs2O8. The functional is PBE.

```
CaYAs2O8
1.0
5.090 0.000 0.000
0.000 5.090 0.000
-2.545 -2.545 5.765
Ca Y As O
1 1 2 8
direct
0.750 0.250 0.500
0.000 0.000 0.000
0.500 0.500 0.000
0.250 0.750 0.500
0.725 0.828 0.154
0.429 0.326 0.154
0.582 0.692 0.662
0.080 0.969 0.662
0.031 0.418 0.338
0.308 0.920 0.338
0.172 0.571 0.846
0.674 0.275 0.846
```

Values from the calculation:
- E_tot (hartree per atom) = -0.2505

This record from Alexandria describes a relaxed structure of Dy2Be2InPd5. The functional is PBE.

```
Dy2Be2InPd5
1.0
-2.754 -0.138 2.150
-5.018 -4.927 -6.742
3.296 -8.395 3.682
Dy Be In Pd
4 4 2 10
direct
0.000 0.677 0.177
0.000 0.323 0.823
0.000 0.177 0.323
0.000 0.823 0.677
0.000 0.117 0.617
0.000 0.883 0.383
0.000 0.617 0.883
0.000 0.383 0.117
0.000 0.000 0.000
0.000 0.500 0.500
0.500 0.221 0.069
0.500 0.779 0.931
0.500 0.069 0.779
0.500 0.721 0.431
0.500 0.931 0.221
0.500 0.279 0.569
0.500 0.569 0.721
0.500 0.431 0.279
0.500 0.500 0.000
0.500 0.000 0.500
```

Values from the calculation:
- E_tot (hartree per atom) = -0.1946
- ΔE_f (kJ per mole of atoms) = -73

This record from Alexandria describes a relaxed structure of CaMnCoAs2. The functional is PBE.

```
CaMnCoAs2
1.0
-0.129 -2.331 3.225
3.261 -1.912 -1.251
1.475 5.589 1.640
Ca Mn Co As
1 1 1 2
direct
0.000 0.000 0.000
0.250 0.750 0.500
0.750 0.250 0.500
0.637 0.637 0.274
0.363 0.363 0.726
```

Values from the calculation:
- E_tot (hartree per atom) = -0.2232
- ΔE_f (kJ per mole of atoms) = -54

This record from Alexandria describes a relaxed structure of TbTm8Pb2. The functional is PBE.

```
TbTm8Pb2
1.0
-1.206 -2.031 4.477
6.272 -6.371 0.242
6.734 3.404 4.802
Tb Tm Pb
1 8 2
direct
0.000 0.000 0.000
0.794 0.174 0.642
0.206 0.358 0.826
0.883 0.249 0.249
0.117 0.751 0.751
0.794 0.642 0.174
0.206 0.826 0.358
0.290 0.424 0.424
0.710 0.576 0.576
0.443 0.138 0.138
0.557 0.862 0.862
```

Values from the calculation:
- E_tot (hartree per atom) = -0.1506
- ΔE_f (kJ per mole of atoms) = 24

This record from Alexandria describes a relaxed structure of Mg2InRePb. The functional is PBE.

```
Mg2InRePb
1.0
5.256 0.000 0.000
0.000 5.769 0.000
0.000 0.000 5.256
Pb Re Mg In
1 1 2 1
direct
0.000 0.000 0.000
0.500 0.500 0.500
0.000 0.000 0.500
0.500 0.000 0.000
0.000 0.500 0.000
```

Values from the calculation:
- E_tot (hartree per atom) = -0.1056
- ΔE_f (kJ per mole of atoms) = 149

This record from Alexandria describes a relaxed structure of TbCePm2. The functional is PBE.

```
TbCePm2
1.0
-0.410 -0.850 5.666
3.519 -3.715 2.609
4.127 1.926 3.500
Tb Ce Pm
1 1 2
direct
0.000 0.000 0.000
0.500 0.500 0.500
0.250 0.250 0.250
0.750 0.750 0.750
```

Values from the calculation:
- E_tot (hartree per atom) = -0.1770
- energy above the lowest structure with this stoichiometry (meV per atom) = 135
- ΔE_f (kJ per mole of atoms) = 19

This record from Alexandria describes a relaxed structure of InSnRuRh. The functional is PBE.

```
InSnRuRh
1.0
4.580 0.000 0.000
2.290 3.967 0.000
2.290 1.322 3.740
Ru Rh Sn In
1 1 1 1
direct
0.750 0.750 0.750
0.250 0.250 0.250
0.500 0.500 0.500
0.000 0.000 0.000
```

Values from the calculation:
- E_tot (hartree per atom) = -0.2229
- energy above the lowest structure with this stoichiometry (meV per atom) = 8
- ΔE_f (kJ per mole of atoms) = -21

This record from Alexandria describes a relaxed structure of La2Y8Er3. The functional is PBE.

```
La2Y8Er3
1.0
-3.343 0.348 4.419
2.199 -6.974 2.213
6.755 7.742 4.496
La Y Er
2 8 3
direct
0.499 0.240 0.480
0.501 0.760 0.520
0.001 0.660 0.320
0.999 0.340 0.680
0.000 0.126 0.252
0.000 0.874 0.748
0.500 0.609 0.792
0.500 0.183 0.792
0.500 0.817 0.208
0.500 0.391 0.208
0.500 0.000 0.000
0.000 0.286 0.000
0.000 0.714 0.000
```

Values from the calculation:
- E_tot (hartree per atom) = -0.2038
- ΔE_f (kJ per mole of atoms) = 23